The following is a DFT calculation (PBE+U) of a relaxed WBr3F crystal.

a b c (Å): 4.8814 4.8814 4.8814
angles (deg): 90.00 90.00 90.00
Space group Pm-3m (No. 221)
Asymmetric unit:
W: 0.0000 0.0000 0.0000
Br: 0.0000 0.5000 0.5000
F: 0.5000 0.5000 0.5000

The theoretical density is 6.3 g cm⁻³. For the total DFT energy (no corrections), the calculation gives -1.683 eV per atom.